Entry 1:
First-principles (PBE) data for AlPt2Au after structural relaxation, as listed in Alexandria.

POSCAR file:
```
AlPt2Au
1.0
-2.1999 3.8720 0.5945
-3.9384 0.6838 -2.0511
-3.7980 0.0804 2.3988
Au Pt Al
1 2 1
direct
0.7500 0.7500 0.7500
0.2500 0.2500 0.2500
0.0000 0.0000 0.0000
0.5000 0.5000 0.5000
```

Properties
Spin magnetization ... 0.0 μB per formula unit
ρ ... 15.9 Mg/m³
E_form ... -1.46 eV per formula unit

***

Entry 2:
First-principles (PBE) data for AlPt2Au after structural relaxation, as listed in Alexandria.

POSCAR file:
```
AlPt2Au
1.0
-1.2180 3.5947 1.3694
-3.5166 -0.4583 -1.9245
-1.4880 -1.6936 3.1223
Pt Au Al
2 1 1
direct
0.0000 0.0000 0.0000
0.5000 0.5000 0.0000
0.0000 0.5000 0.5000
0.5000 0.0000 0.5000
```

Properties
Spin magnetization ... 0.0 μB per formula unit
ρ ... 16.3 Mg/m³
E_form ... -2.25 eV per formula unit

***

Entry 3:
First-principles (PBE) data for AlPt2Au after structural relaxation, as listed in Alexandria.

POSCAR file:
```
AlPt2Au
1.0
2.8573 0.0000 0.0000
0.0000 3.6840 0.0000
0.0000 0.0000 6.0409
Pt Au Al
2 1 1
direct
0.5000 0.5000 0.2766
0.0000 0.0000 0.0072
0.5000 0.5000 0.7416
0.0000 0.0000 0.4746
```

Properties
Spin magnetization ... 0.0 μB per formula unit
ρ ... 16.0 Mg/m³
E_form ... -1.68 eV per formula unit

***

Entry 4:
First-principles (PBE) data for AlPtAu2 after structural relaxation, as listed in Alexandria.

POSCAR file:
```
AlPtAu2
1.0
2.9668 0.0000 0.0000
0.0000 3.1203 0.0000
0.0000 0.0000 7.1226
Au Pt Al
2 1 1
direct
0.5000 0.5000 0.2564
0.0000 0.0000 0.9711
0.0000 0.0000 0.5396
0.5000 0.5000 0.7329
```

Properties
Spin magnetization ... 0.0 μB per formula unit
ρ ... 15.5 Mg/m³
E_form ... -1.71 eV per formula unit

***

Entry 5:
First-principles (PBE) data for AlPtAu after structural relaxation, as listed in Alexandria.

POSCAR file:
```
AlPtAu
1.0
-3.6765 1.1158 1.7085
-3.2304 -2.6915 -0.0194
-1.2761 -1.7787 3.5900
Au Pt Al
1 1 1
direct
0.0000 0.0000 0.0000
0.5000 0.5000 0.5000
0.7500 0.7500 0.7500
```

Properties
Relative energy among the computed polymorphs ... 39 meV/atom
Spin magnetization ... 0.0 μB per formula unit
ρ ... 13.2 Mg/m³
E_form ... -1.62 eV per formula unit

***

Entry 6:
First-principles (PBE) data for AlPt2Au after structural relaxation, as listed in Alexandria.

POSCAR file:
```
AlPt2Au
1.0
2.9380 0.0000 0.0000
0.0000 2.9380 0.0000
0.0000 0.0000 7.3077
Pt Al Au
2 1 1
direct
0.0000 0.0000 0.0054
0.5000 0.5000 0.2793
0.0000 0.0000 0.4859
0.5000 0.5000 0.7293
```

Properties
Spin magnetization ... 0.0 μB per formula unit
ρ ... 16.2 Mg/m³
E_form ... -1.61 eV per formula unit

***

Entry 7:
First-principles (PBE) data for AlPtAu2 after structural relaxation, as listed in Alexandria.

POSCAR file:
```
AlPtAu2
1.0
-2.3592 -1.6874 -4.1342
0.4762 -1.4783 -4.8055
0.3775 -4.9354 0.0571
Au Al Pt
2 1 1
direct
0.9733 0.9733 0.0058
0.7492 0.7492 0.7533
0.2482 0.2482 0.2771
0.5294 0.5294 0.4637
```

Properties
Spin magnetization ... 0.0 μB per formula unit
ρ ... 15.3 Mg/m³
E_form ... -1.40 eV per formula unit

***

Entry 8:
First-principles (PBE) data for AlPtAu after structural relaxation, as listed in Alexandria.

POSCAR file:
```
AlPtAu
1.0
-4.9502 1.1134 -1.5533
-2.2535 -0.4851 -4.7795
2.7403 -2.2361 3.9557
Pt Au Al
1 1 1
direct
0.6437 0.6437 0.0000
0.3437 0.3437 0.0000
0.0126 0.0126 0.0000
```

Properties
Relative energy among the computed polymorphs ... 0 meV/atom
Spin magnetization ... 0.0 μB per formula unit
ρ ... 14.5 Mg/m³
E_form ... -1.74 eV per formula unit

***

Entry 9:
First-principles (PBE) data for AlPt6Au after structural relaxation, as listed in Alexandria.

POSCAR file:
```
AlPt6Au
1.0
3.9677 0.0000 0.0000
0.0000 3.9677 0.0000
0.0000 0.0000 7.9486
Au Pt Al
1 6 1
direct
0.0000 0.0000 0.0000
0.5000 0.0000 0.7379
0.5000 0.0000 0.2621
0.0000 0.5000 0.7379
0.5000 0.5000 0.0000
0.0000 0.5000 0.2621
0.5000 0.5000 0.5000
0.0000 0.0000 0.5000
```

Properties
Spin magnetization ... 0.0 μB per formula unit
ρ ... 18.5 Mg/m³
E_form ... -2.52 eV per formula unit

***

Entry 10:
First-principles (PBE) data for AlPt2Au after structural relaxation, as listed in Alexandria.

POSCAR file:
```
AlPt2Au
1.0
-3.5594 3.0912 -0.9630
-3.3152 -2.4454 -2.4864
2.1308 -0.7619 4.2464
Pt Au Al
2 1 1
direct
0.9825 0.9825 0.0000
0.5175 0.5175 0.0000
0.2500 0.7500 0.5000
0.7500 0.2500 0.5000
```

Properties
Spin magnetization ... 0.0 μB per formula unit
ρ ... 16.1 Mg/m³
E_form ... -2.10 eV per formula unit

***

Entry 11:
First-principles (PBE) data for Al3PtAu after structural relaxation, as listed in Alexandria.

POSCAR file:
```
Al3PtAu
1.0
-0.8495 -2.3206 4.0641
1.5289 -4.0415 -1.9881
4.4231 0.9513 1.4677
Al Pt Au
3 1 1
direct
0.5000 0.0000 0.0000
0.0000 0.5000 0.0000
0.0000 0.0000 0.5000
0.0000 0.0000 0.0000
0.5000 0.5000 0.5000
```

Properties
Relative energy among the computed polymorphs ... 0 meV/atom
Spin magnetization ... 0.0 μB per formula unit
ρ ... 7.3 Mg/m³
E_form ... -1.19 eV per formula unit

***

Entry 12:
First-principles (PBE) data for AlPt2Au after structural relaxation, as listed in Alexandria.

POSCAR file:
```
AlPt2Au
1.0
4.8772 -0.0087 0.0000
1.6222 4.5996 0.0000
-3.2497 -2.2954 2.8210
Au Al Pt
1 1 2
direct
0.7500 0.2500 0.5000
0.5000 0.5000 0.0000
0.0000 0.0000 0.0000
0.2500 0.7500 0.5000
```

Properties
Spin magnetization ... 0.0 μB per formula unit
ρ ... 16.1 Mg/m³
E_form ... -1.77 eV per formula unit